Here is a relaxed structure of GdNpSi from the Open Quantum Materials Database. Energies are from GGA-PBE.

Output
VASP energy = -7.573 eV per atom

abc: 6.879 6.879 6.879
angles: 90.00 90.00 90.00
Space group F-43m (No. 216)
Symmetry-distinct sites (fractional):
1 Gd 0.000 0.000 0.000 x4
2 Np 0.000 0.000 0.500 x4
3 Si 0.250 0.250 0.250 x4


Here is a relaxed structure of SmGdNp from the Open Quantum Materials Database. Energies are from GGA-PBE.

Output
VASP energy = -6.209 eV per atom

abc: 7.350 7.350 7.350
angles: 90.00 90.00 90.00
Space group F-43m (No. 216)
Symmetry-distinct sites (fractional):
1 Sm 0.000 0.000 0.000 x4
2 Gd 0.250 0.250 0.750 x4
3 Np 0.250 0.250 0.250 x4


Here is a relaxed structure of TbGdNp from the Open Quantum Materials Database. Energies are from GGA-PBE.

Output
VASP energy = -6.175 eV per atom

abc: 7.489 7.489 7.489
angles: 90.00 90.00 90.00
Space group F-43m (No. 216)
Symmetry-distinct sites (fractional):
1 Tb 0.000 0.000 0.000 x4
2 Gd 0.250 0.250 0.250 x4
3 Np 0.250 0.250 0.750 x4


Here is a relaxed structure of GdNpTe6 from the Open Quantum Materials Database. Energies are from GGA-PBE.

Output
VASP energy = -5.295 eV per atom

abc: 4.366 4.363 26.139
angles: 90.00 90.00 90.00
Space group Amm2 (No. 38)
Symmetry-distinct sites (fractional):
1 Gd 0.000 0.000 0.000 x2
2 Np 0.500 0.000 0.661 x2
3 Te 0.000 0.000 0.126 x2
4 Te 0.000 0.000 0.406 x2
5 Te 0.000 0.000 0.753 x2
6 Te 0.500 0.000 0.253 x2
7 Te 0.500 0.000 0.537 x2
8 Te 0.500 0.000 0.906 x2


Here is a relaxed structure of GdTmNp from the Open Quantum Materials Database. Energies are from GGA-PBE.

Output
VASP energy = -6.145 eV per atom

abc: 7.470 7.470 7.470
angles: 90.00 90.00 90.00
Space group F-43m (No. 216)
Symmetry-distinct sites (fractional):
1 Gd 0.000 0.000 0.000 x4
2 Tm 0.250 0.250 0.250 x4
3 Np 0.000 0.000 0.500 x4


Here is a relaxed structure of GdYNp from the Open Quantum Materials Database. Energies are from GGA-PBE.

Output
VASP energy = -6.746 eV per atom

abc: 7.405 7.405 7.405
angles: 90.00 90.00 90.00
Space group F-43m (No. 216)
Symmetry-distinct sites (fractional):
1 Gd 0.000 0.000 0.000 x4
2 Y 0.250 0.250 0.250 x4
3 Np 0.000 0.000 0.500 x4


Here is a relaxed structure of Gd2O3 from the Open Quantum Materials Database. Energies are from GGA-PBE.

Output
VASP energy = -8.159 eV per atom

abc: 5.9812 5.9812 3.0802
angles: 90.00 90.00 120.00
Space group P-62m (No. 189)
Symmetry-distinct sites (fractional):
1 Gd 0.3333 0.6667 0.0000 x2
2 O 0.0000 0.4927 0.5000 x3


Here is a relaxed structure of Gd4O5 from the Open Quantum Materials Database. Energies are from GGA-PBE.

Output
VASP energy = -7.673 eV per atom

abc: 3.950 3.950 9.395
angles: 90.00 90.00 90.00
Space group P4/mmm (No. 123)
Symmetry-distinct sites (fractional):
1 Gd 0.000 0.000 0.000 x1
2 Gd 0.000 0.000 0.500 x1
3 Gd 0.500 0.500 0.244 x2
4 O 0.000 0.500 0.145 x4
5 O 0.500 0.500 0.500 x1


> Which value of VASP energy does entry 1 give?

-7.573 eV per atom


> The lowest VASP energy belongs to which entry?

Gd2O3